## Cu2AgHg2 (PBE)

Data for a geometry-optimized Cu2AgHg2 structure.

Cell lengths 8.166, 8.166, 8.166 Å; angles 155.57, 155.57, 34.82 degrees
Fractional positions:
Cu: 0.250 0.750 0.500
Cu: 0.750 0.250 0.500
Ag: 0.000 0.000 0.000
Hg: 0.389 0.389 0.000
Hg: 0.611 0.611 0.000

Values from the calculation:
ΔE to the lowest computed polymorph	20	meV per atom
energy relative to the elements	0.93	eV per formula unit
space-group type	I4/mmm
final energy	-2.143	eV/atom